A relaxed structure of YHgI3, computed with PBE-GGA.

Lattice parameters (Å, degrees): 6.0502 6.0502 6.0502 90.00 90.00 90.00
Element x y z (fractional)
I (0.0000, 0.5000, 0.0000)
I (0.0000, 0.0000, 0.5000)
I (0.5000, 0.0000, 0.0000)
Y (0.0000, 0.0000, 0.0000)
Hg (0.5000, 0.5000, 0.5000)

For the density of states at the Fermi level, the calculation gives 0.0 states/eV/cell. The uncorrected formation energy is -983 meV/atom. For the magnetization, the calculation gives 0.00 μB per atom. As for the energy above the most stable polymorph in this dataset: 0.068 eV per atom. As for the total energy: -3.27 eV per atom. The crystal system is cubic. As for the symmetry: Pm-3m, No. 221.



A relaxed structure of Y2Hg2I, computed with PBE-GGA.

Lattice parameters (Å, degrees): 8.6574 8.6574 3.7966 90.00 90.00 90.00
Element x y z (fractional)
I (0.0000, 0.0000, 0.0000)
I (0.5000, 0.5000, 0.0000)
Y (0.1730, 0.6730, 0.5000)
Y (0.6730, 0.8270, 0.5000)
Y (0.8270, 0.3270, 0.5000)
Y (0.3270, 0.1730, 0.5000)
Hg (0.3761, 0.8761, 0.0000)
Hg (0.8761, 0.6239, 0.0000)
Hg (0.6239, 0.1239, 0.0000)
Hg (0.1239, 0.3761, 0.0000)

For the density of states at the Fermi level, the calculation gives 5.0 states/eV/cell. The uncorrected formation energy is -376 meV/atom. For the magnetization, the calculation gives 0.00 μB per atom. As for the energy above the most stable polymorph in this dataset: 0.158 eV per atom. As for the total energy: -3.39 eV per atom. The crystal system is tetragonal. As for the symmetry: P4/mbm, No. 127.



A relaxed structure of Y3HgI, computed with PBE-GGA.

Lattice parameters (Å, degrees): 5.7030 5.7030 5.7030 90.00 90.00 90.00
Element x y z (fractional)
I (0.5000, 0.5000, 0.5000)
Y (0.0000, 0.5000, 0.0000)
Y (0.0000, 0.0000, 0.5000)
Y (0.5000, 0.0000, 0.0000)
Hg (0.0000, 0.0000, 0.0000)

For the density of states at the Fermi level, the calculation gives 10.3 states/eV/cell. The uncorrected formation energy is 50 meV/atom. For the magnetization, the calculation gives 0.00 μB per atom. As for the energy above the most stable polymorph in this dataset: 0.000 eV per atom. As for the total energy: -4.20 eV per atom. The crystal system is cubic. As for the symmetry: Pm-3m, No. 221.



A relaxed structure of YHgI3, computed with PBE-GGA.

Lattice parameters (Å, degrees): 7.7311 11.1281 11.1281 76.91 89.85 89.85
Element x y z (fractional)
Y (0.9282, 0.3309, 0.1692)
Y (0.5718, 0.8308, 0.6691)
Y (0.0718, 0.6691, 0.8308)
Y (0.4282, 0.1692, 0.3309)
Hg (0.2500, 0.2232, 0.7768)
Hg (0.7500, 0.7768, 0.2232)
Hg (0.2500, 0.7228, 0.2772)
Hg (0.7500, 0.2772, 0.7228)
I (0.6423, 0.1676, 0.0997)
I (0.8577, 0.9003, 0.8324)
I (0.3577, 0.8324, 0.9003)
I (0.1423, 0.0997, 0.1676)
I (0.7598, 0.5323, 0.9673)
I (0.7402, 0.0327, 0.4677)
I (0.2402, 0.4677, 0.0327)
I (0.2598, 0.9673, 0.5323)
I (0.6405, 0.4005, 0.3323)
I (0.8595, 0.6677, 0.5995)
I (0.3595, 0.5995, 0.6677)
I (0.1405, 0.3323, 0.4005)

For the density of states at the Fermi level, the calculation gives 0.0 states/eV/cell. The uncorrected formation energy is -1051 meV/atom. For the magnetization, the calculation gives 0.00 μB per atom. As for the energy above the most stable polymorph in this dataset: 0.000 eV per atom. As for the total energy: -3.33 eV per atom. The crystal system is monoclinic. As for the symmetry: C2/c, No. 15.



A relaxed structure of YHgI3, computed with PBE-GGA.

Lattice parameters (Å, degrees): 5.8755 5.8755 5.8755 90.00 90.00 90.00
Last column: magnetic moment on the atom in μB.
Element x y z (fractional)
I (0.0000, 0.5000, 0.0000)  -0.01
I (0.0000, 0.0000, 0.5000)  -0.01
I (0.5000, 0.0000, 0.0000)  -0.01
Y (0.5000, 0.5000, 0.5000)  0.64
Hg (0.0000, 0.0000, 0.0000)  0.00

For the density of states at the Fermi level, the calculation gives 5.1 states/eV/cell. The uncorrected formation energy is 35 meV/atom. For the magnetization, the calculation gives 0.25 μB per atom. As for the energy above the most stable polymorph in this dataset: 1.086 eV per atom. As for the total energy: -2.25 eV per atom. The crystal system is cubic. As for the symmetry: Pm-3m, No. 221.



A relaxed structure of Y2HgI, computed with PBE-GGA.

Lattice parameters (Å, degrees): 5.3741 5.3741 5.3741 60.00 60.00 60.00
Element x y z (fractional)
I (0.0000, 0.0000, 0.0000)
Y (0.2500, 0.2500, 0.2500)
Y (0.7500, 0.7500, 0.7500)
Hg (0.5000, 0.5000, 0.5000)

For the density of states at the Fermi level, the calculation gives 4.9 states/eV/cell. The uncorrected formation energy is -423 meV/atom. For the magnetization, the calculation gives 0.00 μB per atom. As for the energy above the most stable polymorph in this dataset: 0.163 eV per atom. As for the total energy: -4.12 eV per atom. The crystal system is cubic. As for the symmetry: Fm-3m, No. 225.



A relaxed structure of YZnHg2I, computed with PBE-GGA.

Lattice parameters (Å, degrees): 6.2674 4.9869 6.2674 90.00 90.00 90.00
Element x y z (fractional)
I (0.0000, 0.0000, 0.0000)
Y (0.5000, 0.5000, 0.5000)
Zn (0.0000, 0.5000, 0.0000)
Hg (0.0000, 0.0000, 0.5000)
Hg (0.5000, 0.0000, 0.0000)

For the density of states at the Fermi level, the calculation gives 4.4 states/eV/cell. The uncorrected formation energy is 661 meV/atom. For the magnetization, the calculation gives 0.00 μB per atom. As for the total energy: -1.32 eV per atom. The crystal system is tetragonal. As for the symmetry: P4/mmm, No. 123.



A relaxed structure of Zn2Hg2I, computed with PBE-GGA.

Lattice parameters (Å, degrees): 7.9309 7.9309 4.0539 90.00 90.00 90.00
Element x y z (fractional)
I (0.0000, 0.0000, 0.0000)
I (0.5000, 0.5000, 0.0000)
Zn (0.3826, 0.8826, 0.0000)
Zn (0.8826, 0.6174, 0.0000)
Zn (0.6174, 0.1174, 0.0000)
Zn (0.1174, 0.3826, 0.0000)
Hg (0.1869, 0.6869, 0.5000)
Hg (0.6869, 0.8131, 0.5000)
Hg (0.8131, 0.3131, 0.5000)
Hg (0.3131, 0.1869, 0.5000)

For the density of states at the Fermi level, the calculation gives 3.1 states/eV/cell. The uncorrected formation energy is 91 meV/atom. For the magnetization, the calculation gives 0.00 μB per atom. As for the energy above the most stable polymorph in this dataset: 0.023 eV per atom. As for the total energy: -0.85 eV per atom. The crystal system is tetragonal. As for the symmetry: P4/mbm, No. 127.



A relaxed structure of Zn3Hg12I5, computed with PBE-GGA.

Lattice parameters (Å, degrees): 15.5508 15.5508 15.5508 109.47 109.47 109.47
Element x y z (fractional)
Zn (0.7500, 0.3750, 0.1250)
Zn (0.8750, 0.7500, 0.1250)
Zn (0.3750, 0.7500, 0.6250)
Zn (0.2500, 0.1250, 0.3750)
Zn (0.8750, 0.1250, 0.2500)
Zn (0.3750, 0.6250, 0.2500)
Zn (0.6250, 0.3750, 0.7500)
Zn (0.1250, 0.8750, 0.7500)
Zn (0.7500, 0.8750, 0.6250)
Zn (0.6250, 0.2500, 0.3750)
Zn (0.1250, 0.2500, 0.8750)
Zn (0.2500, 0.6250, 0.8750)
I (0.1250, 0.3750, 0.2500)
I (0.0000, 0.5000, 0.0000)
I (0.0000, 0.0000, 0.0000)
I (0.3750, 0.2500, 0.1250)
I (0.5000, 0.0000, 0.5000)
I (0.5000, 0.5000, 0.0000)
I (0.1250, 0.7500, 0.3750)
I (0.7500, 0.1250, 0.8750)
I (0.7500, 0.6250, 0.3750)
I (0.3750, 0.1250, 0.7500)
I (0.6250, 0.8750, 0.2500)
I (0.5000, 0.5000, 0.5000)
I (0.5000, 0.0000, 0.0000)
I (0.0000, 0.0000, 0.5000)
I (0.2500, 0.3750, 0.6250)
I (0.2500, 0.8750, 0.1250)
I (0.0000, 0.5000, 0.5000)
I (0.8750, 0.2500, 0.6250)
I (0.6250, 0.7500, 0.8750)
I (0.8750, 0.6250, 0.7500)
Hg (0.7541, 0.1327, 0.0860)
Hg (0.3318, 0.5860, 0.4533)
Hg (0.9140, 0.3673, 0.2459)
Hg (0.5860, 0.2541, 0.1327)
Hg (0.6214, 0.7541, 0.6682)
Hg (0.9140, 0.5467, 0.1682)
Hg (0.3318, 0.7459, 0.3786)
Hg (0.0467, 0.8786, 0.1327)
Hg (0.5467, 0.9140, 0.6682)
Hg (0.7541, 0.6214, 0.1682)
Hg (0.7459, 0.4140, 0.3673)
Hg (0.8318, 0.9533, 0.0860)
Hg (0.1327, 0.7541, 0.5860)
Hg (0.3673, 0.4533, 0.1214)
Hg (0.1214, 0.9533, 0.3673)
Hg (0.3786, 0.1327, 0.5467)
Hg (0.1214, 0.1682, 0.2541)
Hg (0.4140, 0.6682, 0.0467)
Hg (0.8318, 0.8786, 0.2459)
Hg (0.1327, 0.3786, 0.0467)
Hg (0.3673, 0.9140, 0.7459)
Hg (0.5467, 0.6327, 0.3786)
Hg (0.9533, 0.8318, 0.5860)
Hg (0.7459, 0.3318, 0.8786)
Hg (0.4533, 0.3673, 0.6214)
Hg (0.0467, 0.1682, 0.4140)
Hg (0.2541, 0.6682, 0.1214)
Hg (0.1682, 0.1214, 0.7541)
Hg (0.6327, 0.0860, 0.2541)
Hg (0.8673, 0.6214, 0.9533)
Hg (0.5860, 0.3318, 0.9533)
Hg (0.6214, 0.8673, 0.4533)
Hg (0.8786, 0.8318, 0.7459)
Hg (0.8786, 0.0467, 0.6327)
Hg (0.8673, 0.2459, 0.4140)
Hg (0.1682, 0.0467, 0.9140)
Hg (0.6327, 0.5467, 0.8786)
Hg (0.4533, 0.0860, 0.3318)
Hg (0.2459, 0.3786, 0.8318)
Hg (0.2541, 0.5860, 0.6327)
Hg (0.9533, 0.1214, 0.8673)
Hg (0.6682, 0.2541, 0.6214)
Hg (0.4140, 0.7459, 0.8673)
Hg (0.0860, 0.4533, 0.8318)
Hg (0.3786, 0.2459, 0.3318)
Hg (0.0860, 0.6327, 0.7541)
Hg (0.6682, 0.4140, 0.5467)
Hg (0.2459, 0.8673, 0.9140)

For the density of states at the Fermi level, the calculation gives 33.1 states/eV/cell. The uncorrected formation energy is -4 meV/atom. For the magnetization, the calculation gives 0.00 μB per atom. As for the total energy: -0.76 eV per atom. The crystal system is cubic. As for the symmetry: Ia-3d, No. 230.



A relaxed structure of ZnHgI3, computed with PBE-GGA.

Lattice parameters (Å, degrees): 5.6437 5.6437 5.6437 90.00 90.00 90.00
Element x y z (fractional)
I (0.0000, 0.5000, 0.0000)
I (0.0000, 0.0000, 0.5000)
I (0.5000, 0.0000, 0.0000)
Zn (0.0000, 0.0000, 0.0000)
Hg (0.5000, 0.5000, 0.5000)

For the density of states at the Fermi level, the calculation gives 8.3 states/eV/cell. The uncorrected formation energy is -50 meV/atom. For the magnetization, the calculation gives 0.00 μB per atom. As for the energy above the most stable polymorph in this dataset: 0.302 eV per atom. As for the total energy: -1.30 eV per atom. The crystal system is cubic. As for the symmetry: Pm-3m, No. 221.



A relaxed structure of Zn2HgI2, computed with PBE-GGA.

Lattice parameters (Å, degrees): 5.5135 5.5135 7.4044 68.14 68.14 90.00
Element x y z (fractional)
I (0.3264, 0.3264, 0.3472)
I (0.6736, 0.6736, 0.6528)
Zn (0.7500, 0.2500, 0.5000)
Zn (0.2500, 0.7500, 0.5000)
Hg (0.0000, 0.0000, 0.0000)

For the density of states at the Fermi level, the calculation gives 2.8 states/eV/cell. The uncorrected formation energy is 45 meV/atom. For the magnetization, the calculation gives 0.00 μB per atom. As for the energy above the most stable polymorph in this dataset: 0.157 eV per atom. As for the total energy: -1.14 eV per atom. The crystal system is tetragonal. As for the symmetry: I4/mmm, No. 139.



A relaxed structure of Zn2Hg2I, computed with PBE-GGA.

Lattice parameters (Å, degrees): 9.0386 9.0386 3.0987 90.00 90.00 90.00
Element x y z (fractional)
I (0.0000, 0.0000, 0.0000)
I (0.5000, 0.5000, 0.0000)
Zn (0.1404, 0.6404, 0.5000)
Zn (0.6404, 0.8596, 0.5000)
Zn (0.8596, 0.3596, 0.5000)
Zn (0.3596, 0.1404, 0.5000)
Hg (0.3450, 0.8450, 0.0000)
Hg (0.8450, 0.6550, 0.0000)
Hg (0.6550, 0.1550, 0.0000)
Hg (0.1550, 0.3450, 0.0000)

For the density of states at the Fermi level, the calculation gives 3.4 states/eV/cell. The uncorrected formation energy is 152 meV/atom. For the magnetization, the calculation gives 0.00 μB per atom. As for the energy above the most stable polymorph in this dataset: 0.084 eV per atom. As for the total energy: -0.79 eV per atom. The crystal system is tetragonal. As for the symmetry: P4/mbm, No. 127.